This record from Alexandria via LeMat-Bulk describes a PBEsol-optimized structure of In3Ir. The functional is meta-GGA SCAN.

Cell lengths 3.081, 3.081, 8.758 Å; angles 90.00, 90.00, 90.00 degrees
Atoms (fractional coordinates):
In 0.000 0.000 0.000
In 0.500 0.500 0.300
In 0.500 0.500 0.700
Ir 0.000 0.000 0.500

## Properties
**Space-group type**: No. 123
**Energy of formation**: 26 meV/atom



This record from Alexandria via LeMat-Bulk describes a PBEsol-optimized structure of Lu4B6O15. The functional is meta-GGA SCAN.

Cell lengths 6.119, 6.119, 18.309 Å; angles 95.84, 95.84, 41.29 degrees
Atoms (fractional coordinates):
Lu 0.063 0.661 0.898
Lu 0.076 0.651 0.696
Lu 0.339 0.937 0.602
Lu 0.349 0.924 0.804
Lu 0.651 0.076 0.196
Lu 0.661 0.063 0.398
Lu 0.924 0.349 0.304
Lu 0.937 0.339 0.102
B 0.020 0.645 0.525
B 0.196 0.663 0.305
B 0.202 0.611 0.086
B 0.337 0.804 0.195
B 0.355 0.980 0.975
B 0.389 0.798 0.414
B 0.611 0.202 0.586
B 0.645 0.020 0.025
B 0.663 0.196 0.805
B 0.798 0.389 0.914
B 0.804 0.337 0.695
B 0.980 0.355 0.475
O 0.001 0.746 0.018
O 0.062 0.310 0.705
O 0.077 0.567 0.140
O 0.092 0.489 0.449
O 0.122 0.878 0.250
O 0.152 0.810 0.380
O 0.190 0.848 0.120
O 0.254 0.999 0.482
O 0.286 0.552 0.571
O 0.310 0.062 0.205
O 0.335 0.530 0.802
O 0.433 0.923 0.360
O 0.448 0.714 0.929
O 0.470 0.665 0.698
O 0.489 0.092 0.949
O 0.511 0.908 0.051
O 0.530 0.335 0.302
O 0.552 0.286 0.071
O 0.567 0.077 0.640
O 0.665 0.470 0.198
O 0.690 0.938 0.795
O 0.714 0.448 0.429
O 0.746 0.001 0.518
O 0.810 0.152 0.880
O 0.848 0.190 0.620
O 0.878 0.122 0.750
O 0.908 0.511 0.551
O 0.923 0.433 0.860
O 0.938 0.690 0.295
O 0.999 0.254 0.982

## Properties
**Formation energy from raw total energies**: -3254 meV/atom
**Space-group type**: No. 15



Number 1: VASP energy -171.15 eV/cell, total magnetic moment 0.0 μB per formula unit. Number 2: VASP energy -881.56 eV/cell, total magnetic moment 0.0 μB per formula unit.